# Be2VSbO8

Crystalline Be2VSbO8 at its relaxed geometry (PBE with a Hubbard U, Alexandria via LeMat-Bulk).

VASP energy	-6.175	eV/atom
space-group type	No. 164
total magnetization	0.33	μB per atom

a b c (Å): 5.314 5.314 5.438
angles (deg): 90.00 90.00 120.00
Fractional coordinates of all 12 atoms:
Be 0.333 0.667 0.330
Be 0.667 0.333 0.670
V 0.000 0.000 0.500
Sb 0.000 0.000 0.000
O 0.160 0.320 0.258
O 0.160 0.840 0.258
O 0.320 0.160 0.742
O 0.333 0.667 0.633
O 0.667 0.333 0.367
O 0.680 0.840 0.258
O 0.840 0.160 0.742
O 0.840 0.680 0.742